(1)
## CaHoCuHg (GGA-PBE)

Data for CaHoCuHg after structural relaxation.

Electronic total energy   -12.148 eV/cell
Theoretical density   8.17 g/cm3
Space group   No. 216
M_tot   0.0 μB/cell

abc: 5.1277 5.1277 5.1277
angles: 60.00 60.00 60.00
Closest atoms and distances in Å follow each position.
Positions (direct):
Ca (0.2500, 0.2500, 0.2500)  4 Hg 3.14, 4 Cu 3.14
Cu (0.5000, 0.5000, 0.5000)  4 Ho 3.14, 4 Ca 3.14
Hg (0.0000, 0.0000, 0.0000)  4 Ho 3.14, 4 Ca 3.14
Ho (0.7500, 0.7500, 0.7500)  4 Hg 3.14, 4 Cu 3.14



(2)
## SrZr2I (GGA-PBE)

Data for SrZr2I after structural relaxation.

Electronic total energy   -38.295 eV/cell
E above lowest polymorph   0 meV per atom
Theoretical density   5.37 g/cm3
Formation energy from raw total energies   0.295 eV per atom
Space group   No. 122
M_tot   0.0 μB/cell

abc: 4.3583 4.3583 13.2891
angles: 80.56 80.56 90.00
Closest atoms and distances in Å follow each position.
Positions (direct):
Sr (0.2500, 0.7500, 0.5000)  4 I 3.08
Sr (0.5000, 0.5000, 0.0000)  4 I 3.08
Zr (0.8750, 0.8755, 0.7500)  4 Zr 3.08
Zr (0.6255, 0.1250, 0.2500)  4 Zr 3.08
Zr (0.3750, 0.3745, 0.7500)  4 Zr 3.08
Zr (0.1245, 0.6250, 0.2500)  4 Zr 3.08
I (0.7500, 0.2500, 0.5000)  4 Sr 3.08
I (0.0000, 0.0000, 0.0000)  4 Sr 3.08



Which formula does entry 1 have? CaHoCuHg



Repeat the first record exactly.
## CaHoCuHg (GGA-PBE)

Data for CaHoCuHg after structural relaxation.

Electronic total energy   -12.148 eV/cell
Theoretical density   8.17 g/cm3
Space group   No. 216
M_tot   0.0 μB/cell

abc: 5.1277 5.1277 5.1277
angles: 60.00 60.00 60.00
Closest atoms and distances in Å follow each position.
Positions (direct):
Ca (0.2500, 0.2500, 0.2500)  4 Hg 3.14, 4 Cu 3.14
Cu (0.5000, 0.5000, 0.5000)  4 Ho 3.14, 4 Ca 3.14
Hg (0.0000, 0.0000, 0.0000)  4 Ho 3.14, 4 Ca 3.14
Ho (0.7500, 0.7500, 0.7500)  4 Hg 3.14, 4 Cu 3.14